Entry from the Alexandria database: a relaxed YMg6Cu6 crystal (GGA-PBE).

## Properties
ΔH_f (0 K)	-122	meV/atom
calculated volume	220.3	Å³ per cell
crystal system	orthorhombic
polymorph energy (0 for the lowest one)	0	meV per atom
size of the total moment	0.00	μB/f.u.
space-group type	No. 71
uncorrected energy	-42.2	eV/cell

```
data_YMg6Cu6
_chemical_formula_sum 'Y1 Mg6 Cu6'
_space_group_name_H-M_alt 'P 1'
_space_group_IT_number 1
_cell_length_a 5.247
_cell_length_b 6.990
_cell_length_c 6.990
_cell_angle_alpha 81.43
_cell_angle_beta 67.96
_cell_angle_gamma 67.96
loop_
_space_group_symop_operation_xyz
'x,y,z'
loop_
_atom_site_label
_atom_site_type_symbol
_atom_site_fract_x
_atom_site_fract_y
_atom_site_fract_z
_atom_site_occupancy
Y1 Y 0.000 0.000 0.000 1
Mg1 Mg 0.346 0.654 0.654 1
Mg2 Mg 0.654 0.346 0.346 1
Mg3 Mg 0.000 0.338 0.662 1
Mg4 Mg 0.000 0.662 0.338 1
Mg5 Mg 0.311 0.189 0.189 1
Mg6 Mg 0.689 0.811 0.811 1
Cu1 Cu 0.000 0.500 0.000 1
Cu2 Cu 0.500 0.500 0.000 1
Cu3 Cu 0.000 0.000 0.500 1
Cu4 Cu 0.500 0.000 0.500 1
Cu5 Cu 0.500 0.770 0.230 1
Cu6 Cu 0.500 0.230 0.770 1
```

Entry from the Alexandria database: a relaxed CaLaGdSn crystal (GGA-PBE).

## Properties
ΔH_f (0 K)	-292	meV/atom
calculated volume	123.6	Å³ per cell
crystal system	cubic
size of the total moment	7.94	μB/f.u.
space-group type	No. 216
uncorrected energy	-26.2	eV/cell

```
data_CaLaGdSn
_chemical_formula_sum 'Ca1 La1 Gd1 Sn1'
_space_group_name_H-M_alt 'P 1'
_space_group_IT_number 1
_cell_length_a 5.591
_cell_length_b 5.591
_cell_length_c 5.591
_cell_angle_alpha 60.00
_cell_angle_beta 60.00
_cell_angle_gamma 60.00
loop_
_space_group_symop_operation_xyz
'x,y,z'
loop_
_atom_site_label
_atom_site_type_symbol
_atom_site_fract_x
_atom_site_fract_y
_atom_site_fract_z
_atom_site_occupancy
Ca1 Ca 0.750 0.750 0.750 1
Gd1 Gd 0.500 0.500 0.500 1
Sn1 Sn 0.250 0.250 0.250 1
La1 La 0.000 0.000 0.000 1
```

Entry from the Alexandria database: a relaxed Sr2MnZn crystal (GGA-PBE).

## Properties
ΔH_f (0 K)	403	meV/atom
calculated volume	109.7	Å³ per cell
crystal system	cubic
size of the total moment	4.40	μB/f.u.
space-group type	No. 216
uncorrected energy	-12.2	eV/cell

```
data_Sr2MnZn
_chemical_formula_sum 'Sr2 Mn1 Zn1'
_space_group_name_H-M_alt 'P 1'
_space_group_IT_number 1
_cell_length_a 5.373
_cell_length_b 5.373
_cell_length_c 5.373
_cell_angle_alpha 60.00
_cell_angle_beta 60.00
_cell_angle_gamma 60.00
loop_
_space_group_symop_operation_xyz
'x,y,z'
loop_
_atom_site_label
_atom_site_type_symbol
_atom_site_fract_x
_atom_site_fract_y
_atom_site_fract_z
_atom_site_occupancy
Mn1 Mn 0.500 0.500 0.500 1
Sr1 Sr 0.000 0.000 0.000 1
Sr2 Sr 0.250 0.250 0.250 1
Zn1 Zn 0.750 0.750 0.750 1
```

Entry from the Alexandria database: a relaxed BiH2Rh crystal (GGA-PBE).

## Properties
calculated volume	49.7	Å³ per cell
crystal system	cubic
polymorph energy (0 for the lowest one)	762	meV per atom
size of the total moment	0.00	μB/f.u.
space-group type	No. 225
uncorrected energy	-15.0	eV/cell

```
data_BiH2Rh
_chemical_formula_sum 'Bi1 H2 Rh1'
_space_group_name_H-M_alt 'P 1'
_space_group_IT_number 1
_cell_length_a 4.126
_cell_length_b 4.126
_cell_length_c 4.126
_cell_angle_alpha 60.00
_cell_angle_beta 60.00
_cell_angle_gamma 60.00
loop_
_space_group_symop_operation_xyz
'x,y,z'
loop_
_atom_site_label
_atom_site_type_symbol
_atom_site_fract_x
_atom_site_fract_y
_atom_site_fract_z
_atom_site_occupancy
H1 H 0.250 0.250 0.250 1
H2 H 0.750 0.750 0.750 1
Rh1 Rh 0.000 0.000 0.000 1
Bi1 Bi 0.500 0.500 0.500 1
```

Entry from the Alexandria database: a relaxed YSb2Ir crystal (GGA-PBE).

## Properties
calculated volume	91.9	Å³ per cell
crystal system	cubic
uncorrected formation energy	-0.121	eV/atom
size of the total moment	0.00	μB/f.u.
space-group type	No. 216
uncorrected energy	-24.1	eV/cell

```
data_YSb2Ir
_chemical_formula_sum 'Y1 Sb2 Ir1'
_space_group_name_H-M_alt 'P 1'
_space_group_IT_number 1
_cell_length_a 5.065
_cell_length_b 5.065
_cell_length_c 5.065
_cell_angle_alpha 60.00
_cell_angle_beta 60.00
_cell_angle_gamma 60.00
loop_
_space_group_symop_operation_xyz
'x,y,z'
loop_
_atom_site_label
_atom_site_type_symbol
_atom_site_fract_x
_atom_site_fract_y
_atom_site_fract_z
_atom_site_occupancy
Ir1 Ir 0.500 0.500 0.500 1
Sb1 Sb 0.000 0.000 0.000 1
Sb2 Sb 0.250 0.250 0.250 1
Y1 Y 0.750 0.750 0.750 1
```

Entry from the Alexandria database: a relaxed Pr2EuSc crystal (GGA-PBE).

## Properties
ΔH_f (0 K)	54	meV/atom
calculated volume	136.1	Å³ per cell
crystal system	tetragonal
polymorph energy (0 for the lowest one)	0	meV per atom
size of the total moment	6.99	μB/f.u.
space-group type	No. 123
uncorrected energy	-26.0	eV/cell

```
data_Pr2EuSc
_chemical_formula_sum 'Pr2 Eu1 Sc1'
_space_group_name_H-M_alt 'P 1'
_space_group_IT_number 1
_cell_length_a 3.702
_cell_length_b 3.702
_cell_length_c 9.928
_cell_angle_alpha 90.00
_cell_angle_beta 90.00
_cell_angle_gamma 90.00
loop_
_space_group_symop_operation_xyz
'x,y,z'
loop_
_atom_site_label
_atom_site_type_symbol
_atom_site_fract_x
_atom_site_fract_y
_atom_site_fract_z
_atom_site_occupancy
Eu1 Eu 0.500 0.500 0.500 1
Pr1 Pr 0.000 0.000 0.777 1
Pr2 Pr 0.000 0.000 0.223 1
Sc1 Sc 0.500 0.500 0.000 1
```

Entry from the Alexandria database: a relaxed Tb6Pr3YTm2 crystal (GGA-PBE).

## Properties
ΔH_f (0 K)	21	meV/atom
calculated volume	392.7	Å³ per cell
crystal system	monoclinic
size of the total moment	0.00	μB/f.u.
space-group type	No. 12
uncorrected energy	-57.3	eV/cell

```
data_Tb6Pr3YTm2
_chemical_formula_sum 'Tb6 Pr3 Y1 Tm2'
_space_group_name_H-M_alt 'P 1'
_space_group_IT_number 1
_cell_length_a 6.223
_cell_length_b 6.223
_cell_length_c 11.889
_cell_angle_alpha 95.00
_cell_angle_beta 95.00
_cell_angle_gamma 119.99
loop_
_space_group_symop_operation_xyz
'x,y,z'
loop_
_atom_site_label
_atom_site_type_symbol
_atom_site_fract_x
_atom_site_fract_y
_atom_site_fract_z
_atom_site_occupancy
Tb1 Tb 0.918 0.584 0.755 1
Tb2 Tb 0.747 0.747 0.245 1
Tb3 Tb 0.082 0.416 0.245 1
Tb4 Tb 0.584 0.918 0.755 1
Tb5 Tb 0.253 0.253 0.755 1
Tb6 Tb 0.416 0.082 0.245 1
Pr1 Pr 0.167 0.833 0.500 1
Pr2 Pr 0.833 0.167 0.500 1
Pr3 Pr 0.500 0.500 0.500 1
Y1 Y 0.000 0.000 0.000 1
Tm1 Tm 0.333 0.667 0.000 1
Tm2 Tm 0.667 0.333 0.000 1
```

Entry from the Alexandria database: a relaxed ScTlCl2 crystal (GGA-PBE).

## Properties
calculated volume	97.8	Å³ per cell
crystal system	tetragonal
polymorph energy (0 for the lowest one)	630	meV per atom
uncorrected formation energy	-0.681	eV/atom
size of the total moment	1.80	μB/f.u.
space-group type	No. 123
uncorrected energy	-15.1	eV/cell

```
data_ScTlCl2
_chemical_formula_sum 'Sc1 Tl1 Cl2'
_space_group_name_H-M_alt 'P 1'
_space_group_IT_number 1
_cell_length_a 5.170
_cell_length_b 5.170
_cell_length_c 3.658
_cell_angle_alpha 90.00
_cell_angle_beta 90.00
_cell_angle_gamma 90.00
loop_
_space_group_symop_operation_xyz
'x,y,z'
loop_
_atom_site_label
_atom_site_type_symbol
_atom_site_fract_x
_atom_site_fract_y
_atom_site_fract_z
_atom_site_occupancy
Sc1 Sc 0.500 0.000 0.500 1
Tl1 Tl 0.000 0.500 0.500 1
Cl1 Cl 0.000 0.000 0.000 1
Cl2 Cl 0.500 0.500 0.000 1
```